This record from Alexandria via LeMat-Bulk describes a geometry-optimized AgBrO3 structure. The functional is GGA-PBE.

Its total moment is 0.00 μB/f.u. The calculation puts the density of states at the Fermi level at 0.00 states/eV per cell. The calculation puts the uncorrected formation energy at 14 kJ per mole of atoms.

The structure belongs to space group R3m (No. 160, hexagonal axes); the cell edges are 5.8247, 5.8247 and 8.8965 Å and the angles 90.00°, 90.00° and 120.00°. Symmetry generates all atoms from Ag at (0.0000, 0.0000, 0.0000), Br at (0.0000, 0.0000, 0.4402) and O at (0.1799, 0.3597, 0.1850).

This record from Alexandria via LeMat-Bulk describes a geometry-optimized AgBr2O6 structure. The functional is GGA-PBE.

Its total moment is 0.00 μB/f.u. The calculation puts the density of states at the Fermi level at 8.84 states/eV per cell. The calculation puts the uncorrected formation energy at 18 kJ per mole of atoms.

The structure belongs to space group C2/c (No. 15); the cell edges are 10.267, 8.960 and 8.674 Å and the angles 90.00°, 119.18° and 90.00°. Symmetry generates all atoms from Ag at (0.000, 0.246, 0.250), Br at (0.202, 0.495, 0.656), O at (0.084, 0.352, 0.586), O at (0.126, 0.077, 0.201) and O at (0.175, 0.415, 0.314).

This record from Alexandria via LeMat-Bulk describes a geometry-optimized Ag8BrO6 structure. The functional is GGA-PBE.

Its total moment is 3.61 μB/f.u. The calculation puts the density of states at the Fermi level at 36.91 states/eV per cell. The calculation puts the uncorrected formation energy at 9 kJ per mole of atoms.

The structure belongs to space group R-3 (No. 148, hexagonal axes); the cell edges are 10.3614, 10.3614 and 8.5670 Å and the angles 90.00°, 90.00° and 120.00°. Symmetry generates all atoms from Ag at (0.0000, 0.0000, 0.1791), Ag at (0.0263, 0.6129, 0.7915), Br at (0.0000, 0.0000, 0.5000) and O at (0.0240, 0.2299, 0.1202).

This record from Alexandria via LeMat-Bulk describes a geometry-optimized Ag7BrO12 structure. The functional is GGA-PBE.

Its total moment is 0.00 μB/f.u. The calculation puts the density of states at the Fermi level at 5.85 states/eV per cell. The calculation puts the uncorrected formation energy at 17 kJ per mole of atoms.

The structure belongs to space group R-3 (No. 148, hexagonal axes); the cell edges are 14.5449, 14.5449 and 5.7851 Å and the angles 90.00°, 90.00° and 120.00°. Symmetry generates all atoms from Ag at (0.0000, 0.0000, 0.0000), Ag at (0.0723, 0.8151, 0.5051), Br at (0.0000, 0.0000, 0.5000), O at (0.0285, 0.4387, 0.1065) and O at (0.0440, 0.9238, 0.6949).

This record from Alexandria via LeMat-Bulk describes a geometry-optimized Ag2Br2O structure. The functional is GGA-PBE.

Its total moment is 0.00 μB/f.u. The calculation puts the density of states at the Fermi level at 12.18 states/eV per cell. The calculation puts the uncorrected formation energy at -6 kJ per mole of atoms.

The structure belongs to space group C2/m (No. 12); the cell edges are 18.937, 3.887 and 6.944 Å and the angles 90.00°, 97.66° and 90.00°. Symmetry generates all atoms from Ag at (0.178, 0.000, 0.467), Ag at (0.185, 0.500, 0.049), Br at (0.083, 0.000, 0.178), Br at (0.123, 0.500, 0.703) and O at (0.226, 0.500, 0.348).

This record from Alexandria via LeMat-Bulk describes a geometry-optimized AgBrO4 structure. The functional is GGA-PBE.

Its total moment is 0.00 μB/f.u. The calculation puts the uncorrected formation energy at 28 kJ per mole of atoms.

The structure belongs to space group I4_1/a (No. 88, origin choice 2); the cell edges are 5.094, 5.094 and 14.020 Å and the angles 90.00°, 90.00° and 90.00°. Symmetry generates all atoms from Ag at (0.000, 0.250, 0.125), Br at (0.000, 0.250, 0.625) and O at (0.142, 0.019, 0.691).

This record from Alexandria via LeMat-Bulk describes a geometry-optimized AgBrO3 structure. The functional is GGA-PBE.

Its total moment is 0.00 μB/f.u. The calculation puts the density of states at the Fermi level at 0.00 states/eV per cell. The calculation puts the uncorrected formation energy at 9 kJ per mole of atoms.

The structure belongs to space group P2_1/m (No. 11); the cell edges are 4.020, 5.754 and 7.772 Å and the angles 90.00°, 101.04° and 90.00°. Symmetry generates all atoms from Ag at (0.072, 0.250, 0.086), Br at (0.464, 0.750, 0.303), O at (0.220, 0.516, 0.323) and O at (0.473, 0.750, 0.082).

This record from Alexandria via LeMat-Bulk describes a geometry-optimized Ag4Br5O2 structure. The functional is GGA-PBE.

Its total moment is 1.14 μB/f.u. The calculation puts the density of states at the Fermi level at 4.61 states/eV per cell. The calculation puts the uncorrected formation energy at -19 kJ per mole of atoms.

The structure belongs to space group P-1 (No. 2); the cell edges are 4.252, 8.697 and 9.075 Å and the angles 104.68°, 100.16° and 101.84°. Symmetry generates all atoms from Ag at (0.047, 0.004, 0.210), Ag at (0.419, 0.639, 0.371), Br at (0.087, 0.307, 0.803), Br at (0.147, 0.318, 0.362), Br at (0.500, 0.000, 0.000) and O at (0.474, 0.056, 0.470).

This record from Alexandria via LeMat-Bulk describes a geometry-optimized Ag2Br2O7 structure. The functional is GGA-PBE.

Its total moment is 0.00 μB/f.u. The calculation puts the uncorrected formation energy at 26 kJ per mole of atoms.

The structure belongs to space group C2/m (No. 12); the cell edges are 8.132, 9.233 and 5.049 Å and the angles 90.00°, 104.83° and 90.00°. Symmetry generates all atoms from Ag at (0.000, 0.201, 0.000), Br at (0.223, 0.500, 0.403), O at (0.000, 0.500, 0.500), O at (0.116, 0.000, 0.308) and O at (0.247, 0.352, 0.218).

This record from Alexandria via LeMat-Bulk describes a geometry-optimized AgBrO4 structure. The functional is GGA-PBE.

Its total moment is 0.00 μB/f.u. The calculation puts the uncorrected formation energy at 28 kJ per mole of atoms.

The structure belongs to space group Pnma (No. 62); the cell edges are 7.938, 6.003 and 7.912 Å and the angles 90.00°, 90.00° and 90.00°. Symmetry generates all atoms from Ag at (0.248, 0.250, 0.249), Br at (0.001, 0.250, 0.669), O at (0.001, 0.019, 0.788), O at (0.171, 0.750, 0.449) and O at (0.174, 0.250, 0.551).

This record from Alexandria via LeMat-Bulk describes a geometry-optimized Ag12Br5O3 structure. The functional is GGA-PBE.

Its total moment is 0.00 μB/f.u. The calculation puts the density of states at the Fermi level at 8.82 states/eV per cell. The calculation puts the uncorrected formation energy at -2 kJ per mole of atoms.

The structure belongs to space group Ia-3d (No. 230); the cell edges are 15.382, 15.382 and 15.382 Å and the angles 90.00°, 90.00° and 90.00°. Symmetry generates all atoms from Ag at (0.019, 0.105, 0.647), Br at (0.000, 0.000, 0.000), Br at (0.000, 0.250, 0.375) and O at (0.000, 0.250, 0.125).

This record from Alexandria via LeMat-Bulk describes a geometry-optimized Ag4BrO4 structure. The functional is GGA-PBE.

Its total moment is 0.00 μB/f.u. The calculation puts the density of states at the Fermi level at 8.75 states/eV per cell. The calculation puts the uncorrected formation energy at 9 kJ per mole of atoms.

The structure belongs to space group I4/m (No. 87); the cell edges are 8.816, 8.816 and 3.672 Å and the angles 90.00°, 90.00° and 90.00°. Symmetry generates all atoms from Ag at (0.132, 0.360, 0.000), Br at (0.000, 0.000, 0.500) and O at (0.071, 0.216, 0.500).

Computed energy, in the same sequence as the records: -3.7313, -3.8043, -3.5273, -3.8794, -2.8593, -3.7653, -3.7847, -2.8975, -3.7102, -3.7669, -2.8937, -3.5609 eV/atom.